# 1
Computed, not measured: a relaxed structure of KMo2O6F at the PBE with a Hubbard U level of DFT.

Cell: 7.4932 7.4932 5.9046 Å, 109.72 109.72 83.83°
Element x y z (fractional)
1 K 0.2122 0.7878 0.7500
2 K 0.7878 0.2122 0.2500
3 Mo 0.1833 0.3925 0.1100
4 Mo 0.3925 0.1833 0.6100
5 Mo 0.6075 0.8167 0.3900
6 Mo 0.8167 0.6075 0.8900
7 O 0.0237 0.4835 0.7956
8 O 0.1012 0.1623 0.9776
9 O 0.1623 0.1012 0.4776
10 O 0.3371 0.3796 0.4269
11 O 0.3796 0.3371 0.9269
12 O 0.4835 0.0237 0.2956
13 O 0.5165 0.9763 0.7044
14 O 0.6204 0.6629 0.0731
15 O 0.6629 0.6204 0.5731
16 O 0.8377 0.8988 0.5224
17 O 0.8988 0.8377 0.0224
18 O 0.9763 0.5165 0.2044
19 F 0.3224 0.6776 0.2500
20 F 0.6776 0.3224 0.7500

Calculated values
Calculated density   3.91 Mg/m³
Crystal system   monoclinic
Raw total energy   -6.48 eV/atom
D(E_F)   0.000 states/eV/cell
Symmetry   C2/c



# 2
Computed, not measured: a relaxed structure of KMoO2F at the PBE with a Hubbard U level of DFT.

Cell: 4.0453 4.0453 4.3303 Å, 90.00 90.00 90.00°
Element x y z (fractional)
1 K 0.0000 0.0000 0.0000
2 Mo 0.5000 0.5000 0.5000
3 O 0.0000 0.5000 0.5000
4 O 0.5000 0.0000 0.5000
5 F 0.5000 0.5000 0.0000

Calculated values
Calculated density   4.36 Mg/m³
Crystal system   tetragonal
Raw total energy   -5.97 eV/atom
D(E_F)   1.448 states/eV/cell
Symmetry   P4/mmm



# 3
Computed, not measured: a relaxed structure of KRb2MoO3F3 at the PBE with a Hubbard U level of DFT.

Cell: 6.4021 6.4021 9.2774 Å, 90.00 90.00 90.00°
Element x y z (fractional)
1 K 0.0000 0.0000 0.0000
2 K 0.5000 0.5000 0.5000
3 Rb 0.0000 0.5000 0.2382
4 Rb 0.0000 0.5000 0.7382
5 Rb 0.5000 0.0000 0.2382
6 Rb 0.5000 0.0000 0.7382
7 Mo 0.0000 0.0000 0.4859
8 Mo 0.5000 0.5000 0.9859
9 O 0.0000 0.0000 0.2936
10 O 0.1989 0.1989 0.5253
11 O 0.3011 0.6989 0.0253
12 O 0.5000 0.5000 0.7936
13 O 0.6989 0.3011 0.0253
14 O 0.8011 0.8011 0.5253
15 F 0.0000 0.0000 0.7269
16 F 0.2229 0.7771 0.5021
17 F 0.2771 0.2771 0.0021
18 F 0.5000 0.5000 0.2269
19 F 0.7229 0.7229 0.0021
20 F 0.7771 0.2229 0.5021

Calculated values
Calculated density   3.59 Mg/m³
Crystal system   tetragonal
Raw total energy   -5.30 eV/atom
D(E_F)   0.000 states/eV/cell
Symmetry   P4_2nm



# 4
Computed, not measured: a relaxed structure of KRb2MoO3F3 at the PBE with a Hubbard U level of DFT.

Cell: 6.5339 6.4377 6.3863 Å, 61.26 59.76 58.98°
Element x y z (fractional)
1 K 0.0000 0.0000 0.0000
2 Rb 0.2621 0.2621 0.2379
3 Rb 0.7621 0.7621 0.7379
4 Mo 0.5136 0.5136 0.4864
5 O 0.2709 0.6736 0.7291
6 O 0.6736 0.2709 0.3264
7 O 0.7053 0.7053 0.2947
8 F 0.2722 0.2722 0.7278
9 F 0.2782 0.7209 0.2791
10 F 0.7209 0.2782 0.7218

Calculated values
Calculated density   3.60 Mg/m³
Crystal system   orthorhombic
Raw total energy   -5.31 eV/atom
D(E_F)   0.000 states/eV/cell
Symmetry   Fmm2



# 5
Computed, not measured: a relaxed structure of K2MoPbF8 at the PBE with a Hubbard U level of DFT.

Cell: 4.3539 6.1093 7.9745 Å, 88.89 89.71 83.46°
Element x y z (fractional)
1 K 0.0064 0.0051 0.2540
2 K 0.9936 0.9949 0.7460
3 Mo 0.5000 0.5000 0.5000
4 Pb 0.5000 0.5000 0.0000
5 F 0.9997 0.2682 0.9931
6 F 0.0003 0.7318 0.0069
7 F 0.1047 0.6936 0.5049
8 F 0.4090 0.2981 0.6906
9 F 0.4215 0.3047 0.2977
10 F 0.5785 0.6953 0.7023
11 F 0.5910 0.7019 0.3094
12 F 0.8953 0.3064 0.4951

Calculated values
Calculated density   4.20 Mg/m³
Crystal system   triclinic
Raw total energy   -4.93 eV/atom
D(E_F)   0.000 states/eV/cell
Symmetry   P-1



# 6
Computed, not measured: a relaxed structure of KMoPb2F8 at the PBE with a Hubbard U level of DFT.

Cell: 4.4435 8.0306 5.7873 Å, 90.00 95.31 90.00°
Element x y z (fractional)
1 K 0.0000 0.0000 0.0000
2 Mo 0.0000 0.5000 0.0000
3 Pb 0.5000 0.2506 0.5000
4 Pb 0.5000 0.7494 0.5000
5 F 0.0551 0.2992 0.7635
6 F 0.0551 0.7008 0.7635
7 F 0.4140 0.5000 0.2124
8 F 0.4911 0.0000 0.7333
9 F 0.5089 0.0000 0.2667
10 F 0.5860 0.5000 0.7876
11 F 0.9449 0.2992 0.2365
12 F 0.9449 0.7008 0.2365

Calculated values
Calculated density   5.66 Mg/m³
Crystal system   monoclinic
Raw total energy   -5.07 eV/atom
D(E_F)   0.000 states/eV/cell
Symmetry   P2/m



# 7
Computed, not measured: a relaxed structure of K2MoPbF6 at the PBE with a Hubbard U level of DFT.

Cell: 6.2794 9.0784 6.9352 Å, 90.00 90.00 90.00°
Element x y z (fractional)
1 K 0.2500 0.0412 0.1896
2 K 0.2500 0.4588 0.1896
3 K 0.7500 0.5412 0.8104
4 K 0.7500 0.9588 0.8104
5 Mo 0.2500 0.7500 0.7905
6 Mo 0.7500 0.2500 0.2095
7 Pb 0.2500 0.2500 0.7058
8 Pb 0.7500 0.7500 0.2942
9 F 0.0015 0.7500 0.0247
10 F 0.0115 0.2500 0.4295
11 F 0.2500 0.5101 0.7996
12 F 0.2500 0.9899 0.7996
13 F 0.4885 0.2500 0.4295
14 F 0.4985 0.7500 0.0247
15 F 0.5015 0.2500 0.9753
16 F 0.5115 0.7500 0.5705
17 F 0.7500 0.0101 0.2004
18 F 0.7500 0.4899 0.2004
19 F 0.9885 0.7500 0.5705
20 F 0.9985 0.2500 0.9753

Calculated values
Calculated density   4.16 Mg/m³
Crystal system   orthorhombic
Raw total energy   -4.73 eV/atom
Symmetry   Pmmn



# 8
Computed, not measured: a relaxed structure of KMoPdF6 at the PBE with a Hubbard U level of DFT.

Cell: 5.3928 5.7358 5.8884 Å, 86.96 88.85 63.49°
Element x y z (fractional)
1 K 0.0000 0.0000 0.0000
2 Mo 0.3304 0.3565 0.4784
3 Pd 0.6332 0.6629 0.5111
4 F 0.0264 0.3399 0.6787
5 F 0.2988 0.6334 0.6981
6 F 0.3103 0.0439 0.3401
7 F 0.5428 0.3416 0.1989
8 F 0.6326 0.0937 0.6785
9 F 0.9876 0.6307 0.2951

Calculated values
Calculated density   3.63 Mg/m³
Crystal system   triclinic
Raw total energy   -4.88 eV/atom
Symmetry   P1



# 9
Computed, not measured: a relaxed structure of K2MoPdF at the PBE with a Hubbard U level of DFT.

Cell: 6.6946 6.6946 5.0244 Å, 90.00 90.00 90.00°
Element x y z (fractional)
1 K 0.0000 0.5000 0.0000
2 K 0.5000 0.0000 0.0000
3 Mo 0.0000 0.0000 0.0000
4 Pd 0.0000 0.0000 0.5000
5 F 0.5000 0.5000 0.5000

Calculated values
Calculated density   2.21 Mg/m³
Crystal system   tetragonal
Raw total energy   -3.08 eV/atom
D(E_F)   1.770 states/eV/cell
Symmetry   P4/mmm



# 10
Computed, not measured: a relaxed structure of K2RbMoF6 at the PBE with a Hubbard U level of DFT.

Cell: 6.6679 6.6679 6.6679 Å, 60.00 60.00 60.00°
Element x y z (fractional)
1 K 0.2500 0.2500 0.2500
2 K 0.7500 0.7500 0.7500
3 Rb 0.0000 0.0000 0.0000
4 Mo 0.5000 0.5000 0.5000
5 F 0.2780 0.2780 0.7220
6 F 0.2780 0.7220 0.2780
7 F 0.2780 0.7220 0.7220
8 F 0.7220 0.2780 0.2780
9 F 0.7220 0.2780 0.7220
10 F 0.7220 0.7220 0.2780

Calculated values
Calculated density   2.96 Mg/m³
Crystal system   cubic
Raw total energy   -4.85 eV/atom
D(E_F)   0.000 states/eV/cell
Symmetry   Fm-3m
Polymorph energy (0 for the lowest one)   72.8 kJ/mol of formula units



# 11
Computed, not measured: a relaxed structure of KRb2MoF6 at the PBE with a Hubbard U level of DFT.

Cell: 12.9536 12.9536 12.9536 Å, 28.46 28.46 28.46°
Element x y z (fractional)
1 K 0.0897 0.0897 0.0897
2 K 0.9103 0.9103 0.9103
3 Rb 0.1949 0.1949 0.1949
4 Rb 0.3572 0.3572 0.3572
5 Rb 0.6428 0.6428 0.6428
6 Rb 0.8051 0.8051 0.8051
7 Mo 0.0000 0.0000 0.0000
8 Mo 0.5000 0.5000 0.5000
9 F 0.1210 0.1210 0.6592
10 F 0.1210 0.6592 0.1210
11 F 0.2136 0.6905 0.6905
12 F 0.3095 0.3095 0.7864
13 F 0.3095 0.7864 0.3095
14 F 0.3408 0.8790 0.8790
15 F 0.6592 0.1210 0.1210
16 F 0.6905 0.2136 0.6905
17 F 0.6905 0.6905 0.2136
18 F 0.7864 0.3095 0.3095
19 F 0.8790 0.3408 0.8790
20 F 0.8790 0.8790 0.3408

Calculated values
Calculated density   3.20 Mg/m³
Crystal system   trigonal
Raw total energy   -4.87 eV/atom
D(E_F)   0.000 states/eV/cell
Symmetry   R-3m
Polymorph energy (0 for the lowest one)   29.2 kJ/mol of formula units



# 12
Computed, not measured: a relaxed structure of KRb2MoF6 at the PBE with a Hubbard U level of DFT.

Cell: 6.5541 6.5541 6.5541 Å, 60.00 60.00 60.00°
Element x y z (fractional)
1 K 0.0000 0.0000 0.0000
2 Rb 0.2500 0.2500 0.2500
3 Rb 0.7500 0.7500 0.7500
4 Mo 0.5000 0.5000 0.5000
5 F 0.2736 0.2736 0.7264
6 F 0.2736 0.7264 0.2736
7 F 0.2736 0.7264 0.7264
8 F 0.7264 0.2736 0.2736
9 F 0.7264 0.2736 0.7264
10 F 0.7264 0.7264 0.2736

Calculated values
Calculated density   3.50 Mg/m³
Crystal system   cubic
Raw total energy   -4.90 eV/atom
D(E_F)   0.000 states/eV/cell
Symmetry   Fm-3m
Polymorph energy (0 for the lowest one)   0.0 kJ/mol of formula units



# 13
Computed, not measured: a relaxed structure of K2RbMoF6 at the PBE with a Hubbard U level of DFT.

Cell: 6.3696 6.7056 11.0143 Å, 90.00 124.26 90.00°
Element x y z (fractional)
1 K 0.2245 0.0497 0.2383
2 K 0.2245 0.4503 0.7383
3 K 0.7755 0.5497 0.2617
4 K 0.7755 0.9503 0.7617
5 Rb 0.0000 0.0000 0.5000
6 Rb 0.0000 0.5000 0.0000
7 Mo 0.5000 0.0000 0.0000
8 Mo 0.5000 0.5000 0.5000
9 F 0.1824 0.1620 0.9582
10 F 0.1824 0.3380 0.4582
11 F 0.2634 0.7444 0.9160
12 F 0.2634 0.7556 0.4160
13 F 0.4076 0.0763 0.7893
14 F 0.4076 0.4237 0.2893
15 F 0.5924 0.5763 0.7107
16 F 0.5924 0.9237 0.2107
17 F 0.7366 0.2444 0.5840
18 F 0.7366 0.2556 0.0840
19 F 0.8176 0.6620 0.5418
20 F 0.8176 0.8380 0.0418

Calculated values
Calculated density   3.19 Mg/m³
Crystal system   monoclinic
Raw total energy   -4.92 eV/atom
D(E_F)   0.000 states/eV/cell
Symmetry   P2_1/c
Polymorph energy (0 for the lowest one)   0.0 kJ/mol of formula units



# 14
Computed, not measured: a relaxed structure of K2RbMoF8 at the PBE with a Hubbard U level of DFT.

Cell: 4.6611 8.5927 6.1899 Å, 90.00 97.96 90.00°
Element x y z (fractional)
1 K 0.0000 0.2246 0.0000
2 K 0.0000 0.7754 0.0000
3 Rb 0.5000 0.0000 0.5000
4 Mo 0.5000 0.5000 0.5000
5 F 0.0502 0.0000 0.7589
6 F 0.1385 0.5000 0.3077
7 F 0.3912 0.3365 0.6874
8 F 0.3912 0.6635 0.6874
9 F 0.6088 0.3365 0.3126
10 F 0.6088 0.6635 0.3126
11 F 0.8615 0.5000 0.6923
12 F 0.9498 0.0000 0.2411

Calculated values
Calculated density   2.78 Mg/m³
Crystal system   monoclinic
Raw total energy   -4.70 eV/atom
Symmetry   P2/m



# 15
Computed, not measured: a relaxed structure of K2MoRuF at the PBE with a Hubbard U level of DFT.

Cell: 6.7095 6.7095 4.7917 Å, 90.00 90.00 90.00°
Element x y z (fractional)
1 K 0.0000 0.5000 0.0000
2 K 0.5000 0.0000 0.0000
3 Mo 0.0000 0.0000 0.0000
4 Ru 0.0000 0.0000 0.5000
5 F 0.5000 0.5000 0.5000

Calculated values
Calculated density   2.26 Mg/m³
Crystal system   tetragonal
Raw total energy   -3.46 eV/atom
D(E_F)   2.425 states/eV/cell
Symmetry   P4/mmm



# 16
Computed, not measured: a relaxed structure of KSiMoF2 at the PBE with a Hubbard U level of DFT.

Cell: 4.5474 4.5474 5.8420 Å, 90.00 90.00 90.00°
Element x y z (fractional)
1 K 0.0000 0.0000 0.0000
2 Si 0.5000 0.5000 0.5000
3 Mo 0.0000 0.0000 0.5000
4 F 0.0000 0.5000 0.0000
5 F 0.5000 0.0000 0.0000

Calculated values
Calculated density   2.76 Mg/m³
Crystal system   tetragonal
Raw total energy   -3.52 eV/atom
D(E_F)   3.680 states/eV/cell
Symmetry   P4/mmm



# 17
Computed, not measured: a relaxed structure of K2SnMoF6 at the PBE with a Hubbard U level of DFT.

Cell: 6.2984 8.9888 6.7330 Å, 90.00 90.00 90.00°
Element x y z (fractional)
1 K 0.2500 0.0328 0.2085
2 K 0.2500 0.4672 0.2085
3 K 0.7500 0.5328 0.7915
4 K 0.7500 0.9672 0.7915
5 Sn 0.2500 0.2500 0.7174
6 Sn 0.7500 0.7500 0.2826
7 Mo 0.2500 0.7500 0.7868
8 Mo 0.7500 0.2500 0.2132
9 F 0.0040 0.2500 0.9753
10 F 0.0107 0.2500 0.4390
11 F 0.2500 0.5078 0.7987
12 F 0.2500 0.9922 0.7987
13 F 0.4893 0.2500 0.4390
14 F 0.4960 0.2500 0.9753
15 F 0.5040 0.7500 0.0247
16 F 0.5107 0.7500 0.5610
17 F 0.7500 0.0078 0.2013
18 F 0.7500 0.4922 0.2013
19 F 0.9893 0.7500 0.5610
20 F 0.9960 0.7500 0.0247

Calculated values
Calculated density   3.54 Mg/m³
Crystal system   orthorhombic
Raw total energy   -4.73 eV/atom
Symmetry   Pmmn



# 18
Computed, not measured: a relaxed structure of KSnMoF6 at the PBE with a Hubbard U level of DFT.

Cell: 6.1205 6.1205 4.7391 Å, 90.00 90.00 120.00°
Element x y z (fractional)
1 K 0.0000 0.0000 0.0000
2 Sn 0.6667 0.3333 0.4931
3 Mo 0.3333 0.6667 0.3844
4 F 0.0816 0.7391 0.6024
5 F 0.2609 0.3425 0.6024
6 F 0.4317 0.0150 0.1749
7 F 0.5833 0.5683 0.1749
8 F 0.6575 0.9184 0.6024
9 F 0.9850 0.4167 0.1749

Calculated values
Calculated density   3.97 Mg/m³
Crystal system   trigonal
Raw total energy   -5.15 eV/atom
D(E_F)   0.000 states/eV/cell
Symmetry   P3



# 19
Computed, not measured: a relaxed structure of KSr2MoF8 at the PBE with a Hubbard U level of DFT.

Cell: 4.3562 8.0216 5.6912 Å, 90.00 96.12 90.00°
Element x y z (fractional)
1 K 0.0000 0.0000 0.0000
2 Sr 0.5000 0.2499 0.5000
3 Sr 0.5000 0.7501 0.5000
4 Mo 0.0000 0.5000 0.0000
5 F 0.0487 0.2997 0.7579
6 F 0.0487 0.7003 0.7579
7 F 0.4229 0.5000 0.2241
8 F 0.4810 0.0000 0.7330
9 F 0.5190 0.0000 0.2670
10 F 0.5771 0.5000 0.7759
11 F 0.9513 0.2997 0.2421
12 F 0.9513 0.7003 0.2421

Calculated values
Calculated density   3.88 Mg/m³
Crystal system   monoclinic
Raw total energy   -5.49 eV/atom
D(E_F)   0.000 states/eV/cell
Symmetry   P2/m



# 20
Computed, not measured: a relaxed structure of K2SrMo3F12 at the PBE with a Hubbard U level of DFT.

Cell: 7.5611 7.5611 7.5611 Å, 60.04 60.04 60.04°
Element x y z (fractional)
1 K 0.1253 0.1253 0.1253
2 K 0.8747 0.8747 0.8747
3 Sr 0.5000 0.5000 0.5000
4 Mo 0.0000 0.5000 0.5000
5 Mo 0.5000 0.0000 0.5000
6 Mo 0.5000 0.5000 0.0000
7 F 0.0899 0.6251 0.6251
8 F 0.2145 0.2145 0.6576
9 F 0.2145 0.6576 0.2145
10 F 0.3424 0.7855 0.7855
11 F 0.3749 0.3749 0.9101
12 F 0.3749 0.9101 0.3749
13 F 0.6251 0.0899 0.6251
14 F 0.6251 0.6251 0.0899
15 F 0.6576 0.2145 0.2145
16 F 0.7855 0.3424 0.7855
17 F 0.7855 0.7855 0.3424
18 F 0.9101 0.3750 0.3749

Calculated values
Calculated density   3.70 Mg/m³
Crystal system   trigonal
Raw total energy   -5.34 eV/atom
D(E_F)   0.179 states/eV/cell
Symmetry   R-3m